Entry 1:
Entry from Alexandria via LeMat-Bulk: a geometry-optimized Zn3HgO3 structure (PBE).

Unit cell a=5.7889 b=5.7889 c=5.7889 alpha=90.00 beta=90.00 gamma=90.00
Space group Pm-3n (No. 223)
Inequivalent atoms, fractional coordinates:
Zn 0.0000 0.2500 0.5000 (multiplicity 6)
Hg 0.0000 0.0000 0.0000 (multiplicity 2)
O 0.0000 0.5000 0.2500 (multiplicity 6)

Energy ... -53.18 eV per cell
DOS(E_F) ... 0.00 states/eV/cell
Energy relative to the elements, uncorrected ... -1084.7 meV per atom
Offset from the most stable computed form ... 6 meV/atom

Entry 2:
Entry from Alexandria via LeMat-Bulk: a geometry-optimized SmScCo structure (PBE).

Unit cell a=5.1473 b=4.7486 c=5.6287 alpha=90.00 beta=102.26 gamma=90.00
Space group P2_1/m (No. 11)
Inequivalent atoms, fractional coordinates:
Sm 0.2139 0.2500 0.4059 (multiplicity 2)
Sc 0.3230 0.7500 0.0011 (multiplicity 2)
Co 0.1291 0.2500 0.8735 (multiplicity 2)

Energy ... -37.06 eV per cell
DOS(E_F) ... 5.82 states/eV/cell
Offset from the most stable computed form ... 41 meV/atom
ΔH_f (0 K) ... -0.1238 eV per atom

Entry 3:
Entry from Alexandria via LeMat-Bulk: a geometry-optimized CdHgO2 structure (PBE).

Unit cell a=5.9784 b=5.9784 c=5.9784 alpha=90.00 beta=90.00 gamma=90.00
Space group Fm-3m (No. 225)
Inequivalent atoms, fractional coordinates:
Cd 0.0000 0.0000 0.0000 (multiplicity 4)
Hg 0.0000 0.0000 0.5000 (multiplicity 4)
O 0.2500 0.2500 0.2500 (multiplicity 8)

Energy ... -48.13 eV per cell
DOS(E_F) ... 7.41 states/eV/cell
Energy relative to the elements, uncorrected ... -224.7 meV per atom
Offset from the most stable computed form ... 462 meV/atom

> What is the DOS(E_F) in the third record?

7.41 states/eV/cell

Please write out number 1 again, unchanged.
Entry from Alexandria via LeMat-Bulk: a geometry-optimized Zn3HgO3 structure (PBE).

Unit cell a=5.7889 b=5.7889 c=5.7889 alpha=90.00 beta=90.00 gamma=90.00
Space group Pm-3n (No. 223)
Inequivalent atoms, fractional coordinates:
Zn 0.0000 0.2500 0.5000 (multiplicity 6)
Hg 0.0000 0.0000 0.0000 (multiplicity 2)
O 0.0000 0.5000 0.2500 (multiplicity 6)

Energy ... -53.18 eV per cell
DOS(E_F) ... 0.00 states/eV/cell
Energy relative to the elements, uncorrected ... -1084.7 meV per atom
Offset from the most stable computed form ... 6 meV/atom

> Which of these has the lowest energy?

Zn3HgO3

What did the second record say?
Entry from Alexandria via LeMat-Bulk: a geometry-optimized SmScCo structure (PBE).

Unit cell a=5.1473 b=4.7486 c=5.6287 alpha=90.00 beta=102.26 gamma=90.00
Space group P2_1/m (No. 11)
Inequivalent atoms, fractional coordinates:
Sm 0.2139 0.2500 0.4059 (multiplicity 2)
Sc 0.3230 0.7500 0.0011 (multiplicity 2)
Co 0.1291 0.2500 0.8735 (multiplicity 2)

Energy ... -37.06 eV per cell
DOS(E_F) ... 5.82 states/eV/cell
Offset from the most stable computed form ... 41 meV/atom
ΔH_f (0 K) ... -0.1238 eV per atom